Record 1
The following is a PBE-GGA calculation of a relaxed structure of YThGeAu, from the Alexandria database.

a = 7.324 Å, b = 7.324 Å, c = 7.324 Å
α = 90.00°, β = 90.00°, γ = 90.00°
Space group F-43m (No. 216)
Symmetry-distinct sites (fractional):
Y 0.000 0.000 0.000 x4
Th 0.000 0.000 0.500 x4
Ge 0.250 0.250 0.250 x4
Au 0.250 0.250 0.750 x4

## Properties
ΔE to the lowest computed polymorph   0.144 eV per atom
Formation enthalpy at 0 K   -14.5 kcal/mol of atoms
Electronic total energy   -6.072 eV/atom


Record 2
The following is a PBE-GGA calculation of a relaxed structure of YThGeAu, from the Alexandria database.

a = 4.362 Å, b = 4.193 Å, c = 11.067 Å
α = 90.00°, β = 90.00°, γ = 90.00°
Space group Amm2 (No. 38)
Symmetry-distinct sites (fractional):
Y 0.000 0.000 0.000 x2
Th 0.500 0.000 0.278 x2
Ge 0.000 0.000 0.721 x2
Au 0.500 0.000 0.553 x2

## Properties
ΔE to the lowest computed polymorph   0.000 eV per atom
Formation enthalpy at 0 K   -17.8 kcal/mol of atoms
Electronic total energy   -6.216 eV/atom


Record 3
The following is a PBE-GGA calculation of a relaxed structure of TiGe2Au, from the Alexandria database.

a = 4.292 Å, b = 4.292 Å, c = 3.663 Å
α = 90.00°, β = 90.00°, γ = 90.00°
Space group P4/mmm (No. 123)
Symmetry-distinct sites (fractional):
Ti 0.000 0.000 0.000 x1
Ge 0.000 0.500 0.500 x2
Au 0.500 0.500 0.000 x1

## Properties
ΔE to the lowest computed polymorph   0.000 eV per atom
Formation enthalpy at 0 K   -4.8 kcal/mol of atoms
Electronic total energy   -5.311 eV/atom


formation enthalpy at 0 K of number 3 (TiGe2Au)?
-4.8 kcal/mol of atoms


What is the formation enthalpy at 0 K in the first record?
-14.5 kcal/mol of atoms